# 1
VASP calculation (PBE-GGA) on Ca3Nd4DySe8 after structural relaxation.

a = 8.4499 Å, b = 8.4499 Å, c = 8.4499 Å
α = 59.12°, β = 59.12°, γ = 59.12°
Last column: nearest neighbours and their distance in Å.
Element x y z (fractional)
1 Ca 0.0000 0.5000 0.5000  6 Se 2.93-2.94
2 Ca 0.5000 0.0000 0.5000  6 Se 2.93-2.94
3 Ca 0.5000 0.5000 0.0000  6 Se 2.93-2.94
4 Nd 0.0000 0.0000 0.5000  6 Se 3.00
5 Nd 0.0000 0.5000 0.0000  6 Se 3.00
6 Nd 0.5000 0.0000 0.0000  6 Se 3.00
7 Nd 0.5000 0.5000 0.5000  6 Se 3.03
8 Dy 0.0000 0.0000 0.0000  6 Se 2.91
9 Se 0.2452 0.2452 0.7489  1 Dy 2.91, 2 Ca 2.93, 3 Nd 3.00-3.03
10 Se 0.2452 0.7489 0.2452  1 Dy 2.91, 2 Ca 2.93, 3 Nd 3.00-3.03
11 Se 0.2511 0.7548 0.7548  1 Dy 2.91, 2 Ca 2.93, 3 Nd 3.00-3.03
12 Se 0.2524 0.2524 0.2524  3 Ca 2.94, 3 Nd 3.00
13 Se 0.7476 0.7476 0.7476  3 Ca 2.94, 3 Nd 3.00
14 Se 0.7489 0.2452 0.2452  1 Dy 2.91, 2 Ca 2.93, 3 Nd 3.00-3.03
15 Se 0.7548 0.2511 0.7548  1 Dy 2.91, 2 Ca 2.93, 3 Nd 3.00-3.03
16 Se 0.7548 0.7548 0.2511  1 Dy 2.91, 2 Ca 2.93, 3 Nd 3.00-3.03

Summary:
Space-group type = No. 166
Calculated volume = 26.1 Å³/atom
Total DFT energy (no corrections) = -5.47 eV/atom
D(E_F) = 7.75 states/eV/f.u.
Formation energy from raw total energies = -1.877 eV/atom

# 2
VASP calculation (PBE-GGA) on Ca3NdDy3Se8 after structural relaxation.

a = 8.3269 Å, b = 8.3269 Å, c = 8.3269 Å
α = 59.26°, β = 59.26°, γ = 59.26°
Last column: nearest neighbours and their distance in Å.
Element x y z (fractional)
1 Ca 0.0000 0.5000 0.5000  6 Se 2.95-2.97
2 Ca 0.5000 0.0000 0.5000  6 Se 2.95-2.97
3 Ca 0.5000 0.5000 0.0000  6 Se 2.95-2.97
4 Nd 0.5000 0.5000 0.5000  6 Se 2.97
5 Dy 0.0000 0.0000 0.5000  6 Se 2.89-2.91
6 Dy 0.0000 0.5000 0.0000  6 Se 2.89-2.91
7 Dy 0.5000 0.0000 0.0000  6 Se 2.89-2.91
8 Se 0.2398 0.7537 0.7537  2 Dy 2.89, 2 Ca 2.97, 1 Nd 2.97
9 Se 0.2463 0.2463 0.7602  2 Dy 2.89, 2 Ca 2.97, 1 Nd 2.97
10 Se 0.2463 0.7602 0.2463  2 Dy 2.89, 2 Ca 2.97, 1 Nd 2.97
11 Se 0.2481 0.2481 0.2481  3 Dy 2.91, 3 Ca 2.95
12 Se 0.7519 0.7519 0.7519  3 Dy 2.91, 3 Ca 2.95
13 Se 0.7537 0.2398 0.7537  2 Dy 2.89, 2 Ca 2.97, 1 Nd 2.97
14 Se 0.7537 0.7537 0.2398  2 Dy 2.89, 2 Ca 2.97, 1 Nd 2.97
15 Se 0.7602 0.2463 0.2463  2 Dy 2.89, 2 Ca 2.97, 1 Nd 2.97

Summary:
Space-group type = No. 166
Calculated volume = 26.8 Å³/atom
Total DFT energy (no corrections) = -5.40 eV/atom
D(E_F) = 4.77 states/eV/f.u.
Formation energy from raw total energies = -1.905 eV/atom

# 3
VASP calculation (PBE-GGA) on Ca3NdDy2Se6 after structural relaxation.

a = 7.1632 Å, b = 7.1632 Å, c = 7.2800 Å
α = 99.48°, β = 99.48°, γ = 119.94°
Last column: nearest neighbours and their distance in Å.
Element x y z (fractional)
1 Ca 0.0000 0.0000 0.0000  6 Se 2.90-2.97
2 Ca 0.3359 0.6641 0.0000  6 Se 2.92-2.97
3 Ca 0.6641 0.3359 0.0000  6 Se 2.92-2.97
4 Nd 0.5000 0.5000 0.5000  6 Se 2.99
5 Dy 0.1675 0.8325 0.5000  6 Se 2.91-2.92
6 Dy 0.8325 0.1675 0.5000  6 Se 2.91-2.92
7 Se 0.0750 0.4167 0.2505  2 Dy 2.91-2.92, 3 Ca 2.92-2.97, 1 Nd 2.99
8 Se 0.2408 0.2408 0.7481  3 Ca 2.90-2.95, 2 Dy 2.92, 1 Nd 2.99
9 Se 0.4167 0.0750 0.2505  2 Dy 2.91-2.92, 3 Ca 2.92-2.97, 1 Nd 2.99
10 Se 0.5833 0.9250 0.7495  2 Dy 2.91-2.92, 3 Ca 2.92-2.97, 1 Nd 2.99
11 Se 0.7592 0.7592 0.2519  3 Ca 2.90-2.95, 2 Dy 2.92, 1 Nd 2.99
12 Se 0.9250 0.5833 0.7495  2 Dy 2.91-2.92, 3 Ca 2.92-2.97, 1 Nd 2.99

Summary:
Space-group type = No. 12
Calculated volume = 25.5 Å³/atom
Total DFT energy (no corrections) = -5.29 eV/atom
D(E_F) = 4.46 states/eV/f.u.
Formation energy from raw total energies = -1.883 eV/atom

# 4
VASP calculation (PBE-GGA) on Ca4NdDy3Se8 after structural relaxation.

a = 8.3633 Å, b = 8.3633 Å, c = 8.3633 Å
α = 59.13°, β = 59.13°, γ = 59.13°
Last column: nearest neighbours and their distance in Å.
Element x y z (fractional)
1 Ca 0.0000 0.0000 0.0000  6 Se 2.90
2 Ca 0.0000 0.5000 0.5000  6 Se 2.96
3 Ca 0.5000 0.0000 0.5000  6 Se 2.96
4 Ca 0.5000 0.5000 0.0000  6 Se 2.96
5 Nd 0.5000 0.5000 0.5000  6 Se 2.97
6 Dy 0.0000 0.0000 0.5000  6 Se 2.92
7 Dy 0.0000 0.5000 0.0000  6 Se 2.92
8 Dy 0.5000 0.0000 0.0000  6 Se 2.92
9 Se 0.2432 0.7531 0.7531  3 Ca 2.90-2.96, 2 Dy 2.92, 1 Nd 2.97
10 Se 0.2469 0.2469 0.7568  3 Ca 2.90-2.96, 2 Dy 2.92, 1 Nd 2.97
11 Se 0.2469 0.7568 0.2469  3 Ca 2.90-2.96, 2 Dy 2.92, 1 Nd 2.97
12 Se 0.2482 0.2482 0.2482  3 Dy 2.92, 3 Ca 2.96
13 Se 0.7518 0.7518 0.7518  3 Dy 2.92, 3 Ca 2.96
14 Se 0.7531 0.2432 0.7531  3 Ca 2.90-2.96, 2 Dy 2.92, 1 Nd 2.97
15 Se 0.7531 0.7531 0.2432  3 Ca 2.90-2.96, 2 Dy 2.92, 1 Nd 2.97
16 Se 0.7568 0.2469 0.2469  3 Ca 2.90-2.96, 2 Dy 2.92, 1 Nd 2.97

Summary:
Space-group type = No. 166
Calculated volume = 25.3 Å³/atom
Total DFT energy (no corrections) = -5.28 eV/atom
D(E_F) = 5.39 states/eV/f.u.
Formation energy from raw total energies = -1.879 eV/atom

# 5
VASP calculation (PBE-GGA) on CaNd6Sm2Dy3 after structural relaxation.

a = 6.3340 Å, b = 6.3340 Å, c = 12.0123 Å
α = 95.02°, β = 95.02°, γ = 120.01°
Last column: nearest neighbours and their distance in Å.
Element x y z (fractional)
1 Ca 0.0000 0.0000 0.0000  6 Sm 3.65-3.66, 6 Nd 3.70-3.71
2 Nd 0.0850 0.4240 0.2549  3 Dy 3.57-3.60, 6 Nd 3.63-3.72, 2 Sm 3.67, 1 Ca 3.70
3 Nd 0.2538 0.2538 0.7444  3 Dy 3.56-3.59, 6 Nd 3.63-3.72, 2 Sm 3.68, 1 Ca 3.71
4 Nd 0.4240 0.0850 0.2549  3 Dy 3.57-3.60, 6 Nd 3.63-3.72, 2 Sm 3.67, 1 Ca 3.70
5 Nd 0.5760 0.9150 0.7451  3 Dy 3.57-3.60, 6 Nd 3.63-3.72, 2 Sm 3.67, 1 Ca 3.70
6 Nd 0.7462 0.7462 0.2556  3 Dy 3.56-3.59, 6 Nd 3.63-3.72, 2 Sm 3.68, 1 Ca 3.71
7 Nd 0.9150 0.5760 0.7451  3 Dy 3.57-3.60, 6 Nd 3.63-3.72, 2 Sm 3.67, 1 Ca 3.70
8 Sm 0.3331 0.6669 0.0000  3 Sm 3.65-3.66, 3 Ca 3.65-3.66, 6 Nd 3.67-3.68
9 Sm 0.6669 0.3331 0.0000  3 Sm 3.65-3.66, 3 Ca 3.65-3.66, 6 Nd 3.67-3.68
10 Dy 0.1662 0.8338 0.5000  6 Nd 3.57-3.60, 6 Dy 3.65-3.66
11 Dy 0.5000 0.5000 0.5000  6 Nd 3.56-3.60, 6 Dy 3.65-3.66
12 Dy 0.8338 0.1662 0.5000  6 Nd 3.57-3.60, 6 Dy 3.65-3.66

Summary:
Space-group type = No. 12
Calculated volume = 34.2 Å³/atom
Total DFT energy (no corrections) = -4.46 eV/atom
D(E_F) = 13.66 states/eV/f.u.
ΔH_f (0 K) = 28 meV per atom

# 6
VASP calculation (PBE-GGA) on CaTbNdDy after structural relaxation.

a = 8.2016 Å, b = 8.2016 Å, c = 8.2016 Å
α = 90.00°, β = 90.00°, γ = 90.00°
Last column: nearest neighbours and their distance in Å.
Element x y z (fractional)
1 Ca 0.0000 0.0000 0.0000  4 Nd 3.55, 4 Tb 3.55
2 Ca 0.0000 0.5000 0.5000  4 Nd 3.55, 4 Tb 3.55
3 Ca 0.5000 0.0000 0.5000  4 Nd 3.55, 4 Tb 3.55
4 Ca 0.5000 0.5000 0.0000  4 Nd 3.55, 4 Tb 3.55
5 Tb 0.2500 0.2500 0.7500  4 Dy 3.55, 4 Ca 3.55
6 Tb 0.2500 0.7500 0.2500  4 Dy 3.55, 4 Ca 3.55
7 Tb 0.7500 0.2500 0.2500  4 Dy 3.55, 4 Ca 3.55
8 Tb 0.7500 0.7500 0.7500  4 Dy 3.55, 4 Ca 3.55
9 Nd 0.2500 0.2500 0.2500  4 Dy 3.55, 4 Ca 3.55
10 Nd 0.2500 0.7500 0.7500  4 Dy 3.55, 4 Ca 3.55
11 Nd 0.7500 0.2500 0.7500  4 Dy 3.55, 4 Ca 3.55
12 Nd 0.7500 0.7500 0.2500  4 Dy 3.55, 4 Ca 3.55
13 Dy 0.0000 0.0000 0.5000  4 Tb 3.55, 4 Nd 3.55
14 Dy 0.0000 0.5000 0.0000  4 Tb 3.55, 4 Nd 3.55
15 Dy 0.5000 0.0000 0.0000  4 Tb 3.55, 4 Nd 3.55
16 Dy 0.5000 0.5000 0.5000  4 Tb 3.55, 4 Nd 3.55

Summary:
Space-group type = No. 216
Calculated volume = 34.5 Å³/atom
Total DFT energy (no corrections) = -3.86 eV/atom
D(E_F) = 6.78 states/eV/f.u.
ΔH_f (0 K) = 141 meV per atom

# 7
VASP calculation (PBE-GGA) on CaTb3Nd6Dy2 after structural relaxation.

a = 6.3231 Å, b = 6.3231 Å, c = 11.9559 Å
α = 95.03°, β = 95.03°, γ = 120.00°
Last column: nearest neighbours and their distance in Å.
Element x y z (fractional)
1 Ca 0.0000 0.0000 0.0000  6 Dy 3.65, 6 Nd 3.67
2 Tb 0.1665 0.8335 0.5000  6 Nd 3.57-3.61, 6 Tb 3.65
3 Tb 0.5000 0.5000 0.5000  6 Nd 3.57-3.61, 6 Tb 3.65
4 Tb 0.8335 0.1665 0.5000  6 Nd 3.57-3.61, 6 Tb 3.65
5 Nd 0.0848 0.4252 0.2523  3 Tb 3.57-3.61, 6 Nd 3.61-3.73, 2 Dy 3.62-3.63, 1 Ca 3.67
6 Nd 0.2553 0.2553 0.7469  3 Tb 3.57-3.60, 6 Nd 3.61-3.73, 2 Dy 3.64, 1 Ca 3.67
7 Nd 0.4252 0.0848 0.2523  3 Tb 3.57-3.61, 6 Nd 3.61-3.73, 2 Dy 3.62-3.63, 1 Ca 3.67
8 Nd 0.5748 0.9152 0.7477  3 Tb 3.57-3.61, 6 Nd 3.61-3.73, 2 Dy 3.62-3.63, 1 Ca 3.67
9 Nd 0.7447 0.7447 0.2531  3 Tb 3.57-3.60, 6 Nd 3.61-3.73, 2 Dy 3.64, 1 Ca 3.67
10 Nd 0.9152 0.5748 0.7477  3 Tb 3.57-3.61, 6 Nd 3.61-3.73, 2 Dy 3.62-3.63, 1 Ca 3.67
11 Dy 0.3333 0.6667 0.0000  6 Nd 3.62-3.64, 3 Ca 3.65, 3 Dy 3.65
12 Dy 0.6667 0.3333 0.0000  6 Nd 3.62-3.64, 3 Ca 3.65, 3 Dy 3.65

Summary:
Space-group type = No. 12
Calculated volume = 34.0 Å³/atom
Total DFT energy (no corrections) = -4.44 eV/atom
D(E_F) = 13.81 states/eV/f.u.
ΔH_f (0 K) = 31 meV per atom

# 8
VASP calculation (PBE-GGA) on CaTb2Nd6Dy after structural relaxation.

a = 9.0334 Å, b = 9.0334 Å, c = 9.9247 Å
α = 94.49°, β = 94.49°, γ = 118.63°
Last column: nearest neighbours and their distance in Å.
Element x y z (fractional)
1 Ca 0.0983 0.9017 0.7500  6 Nd 3.58-3.69, 2 Tb 3.67
2 Ca 0.9017 0.0983 0.2500  6 Nd 3.58-3.69, 2 Tb 3.67
3 Tb 0.2024 0.3017 0.9571  6 Nd 3.32-3.70, 2 Dy 3.43-3.50, 1 Ca 3.67
4 Tb 0.3017 0.2024 0.4571  6 Nd 3.32-3.70, 2 Dy 3.43-3.50, 1 Ca 3.67
5 Tb 0.6983 0.7976 0.5429  6 Nd 3.32-3.70, 2 Dy 3.43-3.50, 1 Ca 3.67
6 Tb 0.7976 0.6983 0.0429  6 Nd 3.32-3.70, 2 Dy 3.43-3.50, 1 Ca 3.67
7 Nd 0.0009 0.2122 0.6235  3 Nd 3.28-3.43, 3 Tb 3.32-3.49, 1 Ca 3.60
8 Nd 0.0704 0.5279 0.1772  4 Nd 3.28-3.67, 1 Tb 3.52, 1 Ca 3.58
9 Nd 0.2122 0.0009 0.1235  3 Nd 3.28-3.43, 3 Tb 3.32-3.49, 1 Ca 3.60
10 Nd 0.2637 0.6153 0.5521  5 Nd 3.43-3.84, 1 Tb 3.47, 1 Dy 3.69
11 Nd 0.3847 0.7363 0.9479  5 Nd 3.43-3.84, 1 Tb 3.47, 1 Dy 3.69
12 Nd 0.4721 0.9296 0.3228  4 Nd 3.28-3.67, 1 Tb 3.52, 1 Ca 3.58
13 Nd 0.5279 0.0704 0.6772  4 Nd 3.28-3.67, 1 Tb 3.52, 1 Ca 3.58
14 Nd 0.6153 0.2637 0.0521  5 Nd 3.43-3.84, 1 Tb 3.47, 1 Dy 3.69
15 Nd 0.7363 0.3847 0.4479  5 Nd 3.43-3.84, 1 Tb 3.47, 1 Dy 3.69
16 Nd 0.7878 0.9991 0.8765  3 Nd 3.28-3.43, 3 Tb 3.32-3.49, 1 Ca 3.60
17 Nd 0.9296 0.4721 0.8228  4 Nd 3.28-3.67, 1 Tb 3.52, 1 Ca 3.58
18 Nd 0.9991 0.7878 0.3765  3 Nd 3.28-3.43, 3 Tb 3.32-3.49, 1 Ca 3.60
19 Dy 0.4744 0.5256 0.2500  4 Tb 3.43-3.50, 4 Nd 3.68-3.69
20 Dy 0.5256 0.4744 0.7500  4 Tb 3.43-3.50, 4 Nd 3.68-3.69

Summary:
Space-group type = No. 15
Calculated volume = 35.1 Å³/atom
Total DFT energy (no corrections) = -4.32 eV/atom
D(E_F) = 15.17 states/eV/f.u.
ΔH_f (0 K) = 131 meV per atom

# 9
VASP calculation (PBE-GGA) on Ca3Nd3DyTe8 after structural relaxation.

a = 9.0275 Å, b = 9.0275 Å, c = 9.0275 Å
α = 59.21°, β = 59.21°, γ = 59.21°
Last column: nearest neighbours and their distance in Å.
Element x y z (fractional)
1 Ca 0.0000 0.5000 0.5000  6 Te 3.15-3.17
2 Ca 0.5000 0.0000 0.5000  6 Te 3.15-3.17
3 Ca 0.5000 0.5000 0.0000  6 Te 3.15-3.17
4 Nd 0.0000 0.0000 0.5000  6 Te 3.18-3.19
5 Nd 0.0000 0.5000 0.0000  6 Te 3.18-3.19
6 Nd 0.5000 0.0000 0.0000  6 Te 3.18-3.19
7 Dy 0.5000 0.5000 0.5000  6 Te 3.13
8 Te 0.2515 0.2515 0.2515  3 Ca 3.15, 3 Nd 3.19
9 Te 0.2532 0.2532 0.7456  1 Dy 3.13, 2 Ca 3.17, 2 Nd 3.18
10 Te 0.2532 0.7456 0.2532  1 Dy 3.13, 2 Ca 3.17, 2 Nd 3.18
11 Te 0.2544 0.7468 0.7468  1 Dy 3.13, 2 Ca 3.17, 2 Nd 3.18
12 Te 0.7456 0.2532 0.2532  1 Dy 3.13, 2 Ca 3.17, 2 Nd 3.18
13 Te 0.7468 0.2544 0.7468  1 Dy 3.13, 2 Ca 3.17, 2 Nd 3.18
14 Te 0.7468 0.7468 0.2544  1 Dy 3.13, 2 Ca 3.17, 2 Nd 3.18
15 Te 0.7485 0.7485 0.7485  3 Ca 3.15, 3 Nd 3.19

Summary:
Space-group type = No. 166
Calculated volume = 34.1 Å³/atom
Total DFT energy (no corrections) = -4.85 eV/atom
D(E_F) = 4.70 states/eV/f.u.
Formation energy from raw total energies = -1.517 eV/atom

# 10
VASP calculation (PBE-GGA) on Ca3NdDy2Te6 after structural relaxation.

a = 10.0073 Å, b = 10.0073 Å, c = 8.9694 Å
α = 104.25°, β = 104.25°, γ = 25.45°
Last column: nearest neighbours and their distance in Å.
Element x y z (fractional)
1 Ca 0.0000 0.0000 0.0000  6 Te 3.11-3.21
2 Ca 0.3357 0.3357 0.6684  6 Te 3.12-3.19
3 Ca 0.6643 0.6643 0.3316  6 Te 3.12-3.19
4 Nd 0.0000 0.0000 0.5000  6 Te 3.18-3.20
5 Dy 0.3368 0.3368 0.1743  6 Te 3.07-3.16
6 Dy 0.6632 0.6632 0.8257  6 Te 3.07-3.16
7 Te 0.1695 0.1695 0.5866  2 Dy 3.10, 3 Ca 3.14-3.16, 1 Nd 3.20
8 Te 0.1698 0.1698 0.0772  3 Dy 3.13-3.16, 3 Ca 3.19-3.21
9 Te 0.4991 0.4991 0.2435  1 Dy 3.07, 3 Ca 3.11-3.12, 2 Nd 3.18
10 Te 0.5009 0.5009 0.7565  1 Dy 3.07, 3 Ca 3.11-3.12, 2 Nd 3.18
11 Te 0.8302 0.8302 0.9228  3 Dy 3.13-3.16, 3 Ca 3.19-3.21
12 Te 0.8305 0.8305 0.4134  2 Dy 3.10, 3 Ca 3.14-3.16, 1 Nd 3.20

Summary:
Space-group type = No. 12
Calculated volume = 31.1 Å³/atom
Total DFT energy (no corrections) = -4.71 eV/atom
D(E_F) = 5.04 states/eV/f.u.
Formation energy from raw total energies = -1.474 eV/atom

> Which value of total DFT energy (no corrections) does entry 7 give?

-4.44 eV/atom

> The lowest calculated volume belongs to which entry?

Ca4NdDy3Se8

> Which of these has the lowest D(E_F)?

Ca3NdDy2Se6

> What is the formula in the ninth record?

Ca3Nd3DyTe8